Record 1
{
  "formula": "ZrH3Ir",
  "functional": "PBE",
  "state": "optimized geometry",
  "lattice_angstrom": [[-2.228, 2.040, -2.093], [-1.951, -2.997, -0.845], [-2.176, 0.599, 2.900]],
  "species": ["Ir", "Zr", "H", "H", "H"],
  "frac_coords": [[0.500, 0.500, 0.500], [0.000, 0.000, 0.000], [0.500, 0.000, 0.000], [0.000, 0.500, 0.000], [0.000, 0.000, 0.500]]
}



Record 2
{
  "formula": "ZrHIr3",
  "functional": "PBE",
  "state": "optimized geometry",
  "relative_energy_mev_per_atom": 546,
  "lattice_angstrom": [[-2.770, 2.555, 3.332], [-1.004, -4.279, 2.446], [2.955, -0.052, 6.293]],
  "species": ["Zr", "Zr", "H", "H", "Ir", "Ir", "Ir", "Ir", "Ir", "Ir"],
  "frac_coords": [[0.953, 0.453, 0.094], [0.547, 0.047, 0.906], [0.250, 0.750, 0.500], [0.000, 0.000, 0.000], [0.369, 0.369, 0.263], [0.152, 0.390, 0.696], [0.610, 0.848, 0.304], [0.631, 0.631, 0.737], [0.152, 0.915, 0.696], [0.085, 0.848, 0.304]]
}



Record 3
{
  "formula": "ZrHIr3",
  "functional": "PBE",
  "state": "optimized geometry",
  "relative_energy_mev_per_atom": 251,
  "lattice_angstrom": [[-16.778, 1.463, 6.929], [-7.217, -1.609, 4.620], [8.605, 0.867, -1.102]],
  "species": ["Ir", "Ir", "Ir", "Ir", "Ir", "Ir", "Zr", "Zr", "H", "H"],
  "frac_coords": [[0.061, 0.631, 0.369], [0.506, 0.300, 0.700], [0.785, 0.156, 0.844], [0.494, 0.700, 0.300], [0.939, 0.369, 0.631], [0.215, 0.844, 0.156], [0.314, 0.113, 0.887], [0.686, 0.887, 0.113], [0.144, 0.726, 0.274], [0.856, 0.274, 0.726]]
}



Record 4
{
  "formula": "ZrHIr3",
  "functional": "PBE",
  "state": "optimized geometry",
  "relative_energy_mev_per_atom": 469,
  "lattice_angstrom": [[2.686, -5.568, 0.000], [2.686, 5.568, 0.000], [0.000, 0.000, 5.022]],
  "species": ["Ir", "Ir", "Ir", "Ir", "Ir", "Ir", "H", "H", "Zr", "Zr"],
  "frac_coords": [[0.103, 0.433, 0.750], [0.000, 0.000, 0.500], [0.433, 0.103, 0.250], [0.567, 0.897, 0.750], [0.897, 0.567, 0.250], [0.000, 0.000, 0.000], [0.242, 0.758, 0.250], [0.758, 0.242, 0.750], [0.416, 0.584, 0.250], [0.584, 0.416, 0.750]]
}



Record 5
{
  "formula": "ZrHIr3",
  "functional": "PBE",
  "state": "optimized geometry",
  "relative_energy_mev_per_atom": 1,
  "lattice_angstrom": [[5.750, 0.001, -0.001], [-0.002, 5.707, 0.000], [-2.873, -2.810, 4.053]],
  "species": ["Ir", "Ir", "Ir", "Ir", "Ir", "Ir", "H", "H", "Zr", "Zr"],
  "frac_coords": [[0.914, 0.451, 0.909], [0.399, 0.966, 0.926], [0.396, 0.451, 0.909], [0.914, 0.969, 0.427], [0.927, 0.966, 0.926], [0.399, 0.437, 0.397], [0.564, 0.801, 0.727], [0.706, 0.659, 0.011], [0.907, 0.458, 0.413], [0.408, 0.957, 0.415]]
}



Record 6
{
  "formula": "Zr2HIr",
  "functional": "PBE",
  "state": "optimized geometry",
  "relative_energy_mev_per_atom": 356,
  "lattice_angstrom": [[0.000, 3.211, 3.211], [3.211, 0.000, 3.211], [3.211, 3.211, 0.000]],
  "species": ["Ir", "Zr", "Zr", "H"],
  "frac_coords": [[0.500, 0.500, 0.500], [0.250, 0.250, 0.250], [0.750, 0.750, 0.750], [0.000, 0.000, 0.000]]
}



| no. | final energy (eV/atom) |
| --- | --- |
| 1 | -5.08 |
| 2 | -7.69 |
| 3 | -7.99 |
| 4 | -7.77 |
| 5 | -8.24 |
| 6 | -7.57 |